BaCd, relaxed, DFT GGA-PBE; ΔE_f = 0.077 eV/atom; crystal system = hexagonal; N(E_F) = 1.01 states/eV/f.u.; volume = 49.2 Å³ per atom
1.0
-2.0045 -2.4631 -3.0243
2.7432 -1.8570 2.8736
-9.0085 -1.7995 7.4366
Cd Ba
2 2
direct
0.6667 0.3333 0.8348 Cd
0.3333 0.6667 0.3348 Cd
0.6667 0.3333 0.5362 Ba
0.3333 0.6667 0.0362 Ba